# 1
# PBE Mn2CuMo2, optimized geometry
# formation energy from the elements	0.309	eV per atom
# Fermi-level density of states	21.20	states/eV per cell
data_Mn2CuMo2
_chemical_formula_sum 'Mn4 Cu2 Mo4'
_cell_length_a 6.891
_cell_length_b 6.891
_cell_length_c 2.884
_cell_angle_alpha 90.00
_cell_angle_beta 90.00
_cell_angle_gamma 90.00
_symmetry_space_group_name_H-M 'P 4/m b m'
_symmetry_Int_Tables_number 127
_symmetry_space_group_name_Hall '-P 4 2ab'
loop_
_atom_site_label
_atom_site_type_symbol
_atom_site_fract_x
_atom_site_fract_y
_atom_site_fract_z
Mn1 Mn 0.139 0.361 0.000
Cu1 Cu 0.000 0.000 0.000
Mo1 Mo 0.162 0.662 0.500



# 2
# PBE CdW2Cl, optimized geometry
# relative energy among the computed polymorphs	625.8	meV per atom
# formation energy without anion corrections	0.857	eV per atom
# Fermi-level density of states	4.77	states/eV per cell
data_CdW2Cl
_chemical_formula_sum 'Cd2 W4 Cl2'
_cell_length_a 2.795
_cell_length_b 5.246
_cell_length_c 9.597
_cell_angle_alpha 90.00
_cell_angle_beta 90.00
_cell_angle_gamma 90.00
_symmetry_space_group_name_H-M 'C m m m'
_symmetry_Int_Tables_number 65
_symmetry_space_group_name_Hall '-C 2 2'
loop_
_atom_site_label
_atom_site_type_symbol
_atom_site_fract_x
_atom_site_fract_y
_atom_site_fract_z
Cd1 Cd 0.000 0.000 0.000
W1 W 0.000 0.500 0.266
Cl1 Cl 0.000 0.000 0.500



# 3
# PBE Ti2FeNi8, optimized geometry
# formation energy from the elements	-0.105	eV per atom
# Fermi-level density of states	20.27	states/eV per cell
data_Ti2FeNi8
_chemical_formula_sum 'Ti4 Fe2 Ni16'
_cell_length_a 6.613
_cell_length_b 12.503
_cell_length_c 4.392
_cell_angle_alpha 90.00
_cell_angle_beta 131.63
_cell_angle_gamma 90.00
_symmetry_space_group_name_H-M 'C 1 2/m 1'
_symmetry_Int_Tables_number 12
loop_
_symmetry_equiv_pos_as_xyz
'x,y,z'
'-x,-y,-z'
'-x,y,-z'
'x,-y,z'
'x+1/2,y+1/2,z'
'-x+1/2,-y+1/2,-z'
'-x+1/2,y+1/2,-z'
'x+1/2,-y+1/2,z'
loop_
_atom_site_label
_atom_site_type_symbol
_atom_site_fract_x
_atom_site_fract_y
_atom_site_fract_z
Ti1 Ti 0.000 0.185 0.000
Fe1 Fe 0.000 0.500 0.500
Ni1 Ni 0.000 0.305 0.500
Ni2 Ni 0.002 0.000 0.755
Ni3 Ni 0.235 0.370 0.236